Record 1
SrHgRu2: optimized geometry, GGA-PBEsol.

Summary:
DFT total energy, eV for the cell shown: -63.77
ρ, Mg/m³: 8.42

Cell: 4.5489 4.5489 16.1961 Å, 90.00 90.00 120.00°
Last column: nearest neighbours and their distance in Å.
Space group R-3m (No. 166, hexagonal axes)
Unique sites:
Sr: 0.0000 0.0000 0.0000 [3 per cell]  2 Ru 2.88
Hg: 0.0000 0.0000 0.5000 [3 per cell]  6 Ru 2.63
Ru: 0.0000 0.0000 0.1780 [6 per cell]  3 Hg 2.63, 3 Ru 2.65, 1 Sr 2.88

=====

Record 2
HoGa2Ni: optimized geometry, GGA-PBEsol.

Summary:
DFT total energy, eV for the cell shown: -82.43
ρ, Mg/m³: 9.19

Cell: 4.0722 9.8552 6.5381 Å, 90.00 90.00 90.00°
Last column: nearest neighbours and their distance in Å.
Space group Cmcm (No. 63)
Unique sites:
Ho: 0.0000 0.0732 0.2500 [4 per cell]  3 Ni 2.79-2.95, 6 Ga 2.92-3.08
Ga: 0.0000 0.3578 0.0537 [8 per cell]  3 Ni 2.46-2.50, 1 Ga 2.57
Ni: 0.0000 0.2096 0.7500 [4 per cell]  6 Ga 2.46-2.50

=====

Per-record formation energy, eV per formula unit: 1.5, -2.8